No. 1
A geometry-optimized Ho3InCu2 structure. Source: Alexandria, functional PBE.

Its total moment is 0.0 μB per formula unit. The value obtained for the total energy is -26.63 eV/f.u.

It has space group P4/mmm (No. 123), with a = 3.462 Å, b = 3.462 Å, c = 11.258 Å, α = 90.00°, β = 90.00° and γ = 90.00°. The asymmetric unit holds Ho at (0.000, 0.000, 0.000), Ho at (0.000, 0.000, 0.307), In at (0.500, 0.500, 0.500) and Cu at (0.500, 0.500, 0.155).

No. 2
A geometry-optimized HoInCu5 structure. Source: Alexandria, functional PBE.

Its total moment is 0.0 μB per formula unit. The value obtained for the total energy is -29.32 eV/f.u.

It has space group Pnma (No. 62), with a = 8.292 Å, b = 5.004 Å, c = 10.527 Å, α = 90.00°, β = 90.00° and γ = 90.00°. The asymmetric unit holds Ho at (0.249, 0.250, 0.064), In at (0.137, 0.750, 0.862), Cu at (0.052, 0.750, 0.103), Cu at (0.069, 0.001, 0.312), Cu at (0.081, 0.250, 0.516) and Cu at (0.186, 0.250, 0.740).

No. 3
A geometry-optimized Ho4InCu3 structure. Source: Alexandria, functional PBE.

Its total moment is 0.0 μB per formula unit. The value obtained for the total energy is -35.66 eV/f.u.

It has space group R-3m (No. 166, hexagonal axes), with a = 4.9972 Å, b = 4.9972 Å, c = 24.5047 Å, α = 90.00°, β = 90.00° and γ = 120.00°. The asymmetric unit holds Ho at (0.0000, 0.0000, 0.1177), Ho at (0.0000, 0.0000, 0.3690), In at (0.0000, 0.0000, 0.5000), Cu at (0.0000, 0.0000, 0.0000) and Cu at (0.0000, 0.0000, 0.2447).

No. 4
A geometry-optimized Ho3In2Cu structure. Source: Alexandria, functional PBE.

Its total moment is 0.0 μB per formula unit. The value obtained for the total energy is -25.70 eV/f.u.

It has space group P4/mmm (No. 123), with a = 3.500 Å, b = 3.500 Å, c = 11.952 Å, α = 90.00°, β = 90.00° and γ = 90.00°. The asymmetric unit holds Ho at (0.000, 0.000, 0.000), Ho at (0.000, 0.000, 0.357), In at (0.500, 0.500, 0.179) and Cu at (0.500, 0.500, 0.500).

No. 5
A geometry-optimized Ho4InCu2 structure. Source: Alexandria, functional PBE.

Its total moment is 0.0 μB per formula unit. The value obtained for the total energy is -29.73 eV/f.u.

It has space group R-3m (No. 166, hexagonal axes), with a = 4.8735 Å, b = 4.8735 Å, c = 26.6189 Å, α = 90.00°, β = 90.00° and γ = 120.00°. The asymmetric unit holds Ho at (0.0000, 0.0000, 0.1159), Ho at (0.0000, 0.0000, 0.2957), In at (0.0000, 0.0000, 0.5000) and Cu at (0.0000, 0.0000, 0.4009).

No. 6
A geometry-optimized Ho8In2Cu structure. Source: Alexandria, functional PBE.

Its total moment is 0.0 μB per formula unit. The value obtained for the total energy is -48.19 eV/f.u.

It has space group C2/m (No. 12), with a = 18.384 Å, b = 5.123 Å, c = 6.687 Å, α = 90.00°, β = 103.00° and γ = 90.00°. The asymmetric unit holds Ho at (0.016, 0.000, 0.273), Ho at (0.092, 0.500, 0.957), Ho at (0.148, 0.500, 0.473), Ho at (0.206, 0.000, 0.797), In at (0.187, 0.000, 0.247) and Cu at (0.000, 0.500, 0.500).